Crystalline CsTaZnCd2 at its relaxed geometry, computed with PBE.

Cell and atoms, written as POSCAR:
```
CsTaZnCd2
1.0
-3.742 5.797 3.301
-6.008 -2.768 -1.948
-0.313 -3.933 6.552
Cd Cs Ta Zn
2 1 1 1
Direct
0.000 0.000 0.500 Cd
0.500 0.000 0.000 Cd
0.000 0.000 0.000 Cs
0.000 0.500 0.000 Ta
0.500 0.500 0.500 Zn
```

Summary:
DOS(E_F) (states/eV per atom): 0.3218
Theoretical density (g cm⁻³): 2.49
Volume (Å³ per atom): 80.680
ΔE_f (kJ/mol of formula units): 908.5
M_tot (Bohr magnetons per cell): 4.00


Crystalline Ru2Pt2W at its relaxed geometry, computed with PBE.

Cell and atoms, written as POSCAR:
```
Ru2Pt2W
1.0
7.479 0.000 0.000
0.000 7.479 0.000
0.000 0.000 2.786
W Pt Ru
2 4 4
Direct
0.500 0.500 0.000 W
0.000 0.000 0.000 W
0.127 0.373 0.000 Pt
0.627 0.127 0.000 Pt
0.373 0.873 0.000 Pt
0.873 0.627 0.000 Pt
0.672 0.828 0.500 Ru
0.328 0.172 0.500 Ru
0.172 0.672 0.500 Ru
0.828 0.328 0.500 Ru
```

Summary:
DOS(E_F) (states/eV per atom): 1.1468
Distance to the lowest polymorph of the same formula (kJ per mole of atoms): 4.2
Theoretical density (g cm⁻³): 16.54
Volume (Å³ per atom): 15.582
ΔE_f (kJ/mol of formula units): 160.5
M_tot (Bohr magnetons per cell): 0.00


Crystalline Y2Si4Ni5 at its relaxed geometry, computed with PBE.

Cell and atoms, written as POSCAR:
```
Y2Si4Ni5
1.0
5.351 0.000 0.000
2.675 4.611 0.000
2.675 0.000 6.651
Y Ni Si
2 5 4
Direct
0.860 0.000 0.279 Y
0.140 0.000 0.721 Y
0.250 0.500 0.500 Ni
0.500 0.000 0.000 Ni
0.500 0.500 0.000 Ni
0.000 0.500 0.000 Ni
0.750 0.500 0.500 Ni
0.516 0.702 0.265 Si
0.218 0.298 0.265 Si
0.782 0.702 0.735 Si
0.484 0.298 0.735 Si
```

Summary:
DOS(E_F) (states/eV per atom): 0.7904
Formation energy without anion corrections (eV per atom): -0.71
Theoretical density (g cm⁻³): 5.91
Volume (Å³ per atom): 14.920
M_tot (Bohr magnetons per cell): 0.00


Crystalline PuVSb at its relaxed geometry, computed with PBE.

Cell and atoms, written as POSCAR:
```
PuVSb
1.0
-0.945 -0.468 -3.411
-1.157 -4.439 0.930
-3.200 3.390 0.421
Pu V Sb
1 1 1
Direct
0.667 0.667 0.333 Pu
0.167 0.333 0.667 V
0.167 0.000 0.000 Sb
```

Summary:
DOS(E_F) (states/eV per atom): 2.0240
Formation energy without anion corrections (eV per atom): -0.05
Distance to the lowest polymorph of the same formula (kJ per mole of atoms): 0.0
Theoretical density (g cm⁻³): 10.22
Volume (Å³ per atom): 22.579
M_tot (Bohr magnetons per cell): 2.85


Crystalline LiCeHg4 at its relaxed geometry, computed with PBE.

Cell and atoms, written as POSCAR:
```
LiCeHg4
1.0
-5.791 1.152 -0.977
-2.982 -3.024 -4.216
-4.155 -4.011 1.568
Ce Hg Li
1 4 1
Direct
0.000 0.000 0.000 Ce
0.625 0.625 0.625 Hg
0.126 0.625 0.625 Hg
0.625 0.625 0.126 Hg
0.625 0.126 0.625 Hg
0.250 0.250 0.250 Li
```

Summary:
DOS(E_F) (states/eV per atom): 1.9223
Distance to the lowest polymorph of the same formula (kJ per mole of atoms): 15.0
Theoretical density (g cm⁻³): 10.40
Volume (Å³ per atom): 25.256
ΔE_f (kJ/mol of formula units): -65.0
M_tot (Bohr magnetons per cell): 1.70


Crystalline BaAs3S at its relaxed geometry, computed with PBE.

Cell and atoms, written as POSCAR:
```
BaAs3S
1.0
-4.971 -1.866 -2.698
-1.555 -2.974 4.921
-2.889 4.811 1.995
S As Ba
1 3 1
Direct
0.500 0.500 0.500 S
0.500 0.000 0.000 As
0.000 0.000 0.500 As
0.000 0.500 0.000 As
0.000 0.000 0.000 Ba
```

Summary:
DOS(E_F) (states/eV per atom): 1.7113
Formation energy without anion corrections (eV per atom): 1.53
Distance to the lowest polymorph of the same formula (kJ per mole of atoms): 152.4
Theoretical density (g cm⁻³): 3.10
Volume (Å³ per atom): 42.251
M_tot (Bohr magnetons per cell): 2.21


Taking the records one at a time from the top gives raw total energy values of -1.28 -8.38 -6.48 -9.24 -1.62 -2.47 eV per atom.